Here is a geometry-optimized MnSbP2 structure from Alexandria via LeMat-Bulk. Energies are from GGA-PBE.

The space group is P4/mmm (No. 123) and the conventional cell measures 2.9153, 2.9153 and 7.7122 Å, with angles of 90.00, 90.00 and 90.00 degrees. The asymmetric unit holds Mn at (0.0000, 0.0000, 0.0000), Sb at (0.0000, 0.0000, 0.5000) and P at (0.5000, 0.5000, 0.1673).

For the total DFT energy (no corrections), the calculation gives -23.751 eV/cell. For the density of states at the Fermi level, the calculation gives 0.670 states/eV/atom. As for the formation energy from raw total energies: 2.08 kcal/mol of atoms.


Here is a geometry-optimized AgAu2Cl structure from Alexandria via LeMat-Bulk. Energies are from GGA-PBE.

The space group is C2/m (No. 12) and the conventional cell measures 12.4192, 3.1853 and 4.3609 Å, with angles of 90.00, 106.07 and 90.00 degrees. The asymmetric unit holds Ag at (0.0000, 0.0000, 0.0000), Au at (0.2270, 0.5000, 0.2310) and Cl at (0.0000, 0.5000, 0.5000).

For the total DFT energy (no corrections), the calculation gives -22.113 eV/cell. For the density of states at the Fermi level, the calculation gives 0.235 states/eV/atom. As for the formation energy from raw total energies: 1.13 kcal/mol of atoms.


Here is a geometry-optimized Pm4Y6Er structure from Alexandria via LeMat-Bulk. Energies are from GGA-PBE.

The space group is P-6m2 (No. 187) and the conventional cell measures 10.9632, 10.9632 and 3.5875 Å, with angles of 90.00, 90.00 and 120.00 degrees. The asymmetric unit holds Pm at (0.0000, 0.0000, 0.0000), Pm at (0.5081, 0.0163, 0.5000), Y at (0.1884, 0.3767, 0.0000), Y at (0.3006, 0.1503, 0.5000) and Er at (0.6667, 0.3333, 0.0000).

For the total DFT energy (no corrections), the calculation gives -60.583 eV/cell. For the density of states at the Fermi level, the calculation gives 1.597 states/eV/atom.


Here is a geometry-optimized Tb5Pr2Y2 structure from Alexandria via LeMat-Bulk. Energies are from GGA-PBE.

The space group is C2/m (No. 12) and the conventional cell measures 21.8151, 3.5126 and 8.2974 Å, with angles of 90.00, 99.71 and 90.00 degrees. The asymmetric unit holds Tb at (0.0000, 0.0000, 0.0000), Tb at (0.0963, 0.0000, 0.7367), Tb at (0.1905, 0.5000, 0.5310), Pr at (0.1814, 0.0000, 0.1461) and Y at (0.0473, 0.5000, 0.3567).

For the total DFT energy (no corrections), the calculation gives -87.237 eV/cell. For the density of states at the Fermi level, the calculation gives 1.473 states/eV/atom.


Here is a geometry-optimized ErTlHgPb structure from Alexandria via LeMat-Bulk. Energies are from GGA-PBE.

The space group is Pmmm (No. 47) and the conventional cell measures 4.6128, 4.6997 and 4.8495 Å, with angles of 90.00, 90.00 and 90.00 degrees. The asymmetric unit holds Er at (0.0000, 0.0000, 0.0000), Tl at (0.5000, 0.0000, 0.5000), Hg at (0.0000, 0.5000, 0.5000) and Pb at (0.5000, 0.5000, 0.0000).

For the total DFT energy (no corrections), the calculation gives -12.007 eV/cell. For the density of states at the Fermi level, the calculation gives 0.340 states/eV/atom.


Here is a geometry-optimized Ge2OsW structure from Alexandria via LeMat-Bulk. Energies are from GGA-PBE.

The space group is R-3m (No. 166, hexagonal axes) and the conventional cell measures 2.8990, 2.8990 and 27.3733 Å, with angles of 90.00, 90.00 and 120.00 degrees. The asymmetric unit holds Ge at (0.0000, 0.0000, 0.0955), Os at (0.0000, 0.0000, 0.5000) and W at (0.0000, 0.0000, 0.0000).

For the total DFT energy (no corrections), the calculation gives -95.075 eV/cell. For the density of states at the Fermi level, the calculation gives 0.645 states/eV/atom.